No. 1
A plane-wave DFT calculation with PBE-GGA was carried out for a relaxed structure of Co3BAu.

a = 4.6837 Å, b = 4.6837 Å, c = 4.6837 Å
α = 90.00°, β = 90.00°, γ = 90.00°
With the nearest neighbours (Å) after each atom.
Element x y z (fractional)
1 Co 0.0000 0.0000 0.5000  2 Au 2.34
2 Co 0.5000 0.0000 0.0000  2 Au 2.34
3 Co 0.0000 0.5000 0.0000  2 Au 2.34
4 Au 0.0000 0.0000 0.0000  6 Co 2.34
5 B 0.5000 0.5000 0.5000  12 Co 3.31

Computed properties:
As for the polymorph energy (0 for the lowest one): 2166 meV per atom. The calculation puts the total moment at 6.1 μB per formula unit.



No. 2
A plane-wave DFT calculation with PBE-GGA was carried out for a relaxed structure of Co2BAu2.

a = 5.3689 Å, b = 5.3689 Å, c = 4.5551 Å
α = 90.00°, β = 90.00°, γ = 90.00°
With the nearest neighbours (Å) after each atom.
Element x y z (fractional)
1 B 0.0000 0.0000 0.0000  4 Co 2.03
2 B 0.5000 0.5000 0.0000  4 Co 2.03
3 Co 0.8456 0.6544 0.0000  2 B 2.03
4 Co 0.6544 0.1544 0.0000  2 B 2.03
5 Co 0.1544 0.3456 0.0000  2 B 2.03
6 Co 0.3456 0.8456 0.0000  2 B 2.03
7 Au 0.8220 0.3220 0.5000  6 Co 2.61-2.90, 5 Au 2.70-2.79
8 Au 0.6780 0.8220 0.5000  6 Co 2.61-2.90, 5 Au 2.70-2.79
9 Au 0.3220 0.1780 0.5000  6 Co 2.61-2.90, 5 Au 2.70-2.79
10 Au 0.1780 0.6780 0.5000  6 Co 2.61-2.90, 5 Au 2.70-2.79

Computed properties:
As for the polymorph energy (0 for the lowest one): 0 meV per atom. The calculation puts the total moment at 1.7 μB per formula unit.



No. 3
A plane-wave DFT calculation with PBE-GGA was carried out for a relaxed structure of CoBAu3.

a = 4.3250 Å, b = 4.3250 Å, c = 4.3250 Å
α = 90.00°, β = 90.00°, γ = 90.00°
With the nearest neighbours (Å) after each atom.
Element x y z (fractional)
1 Au 0.0000 0.5000 0.0000  2 B 2.16
2 Au 0.5000 0.0000 0.0000  2 B 2.16
3 Au 0.0000 0.0000 0.5000  2 B 2.16
4 B 0.0000 0.0000 0.0000  6 Au 2.16
5 Co 0.5000 0.5000 0.5000  12 Au 3.06

Computed properties:
As for the polymorph energy (0 for the lowest one): 0 meV per atom. The calculation puts the total moment at 1.9 μB per formula unit.



No. 4
A plane-wave DFT calculation with PBE-GGA was carried out for a relaxed structure of CoHg2BAu.

a = 4.6052 Å, b = 3.9285 Å, c = 4.6052 Å
α = 90.00°, β = 90.00°, γ = 90.00°
With the nearest neighbours (Å) after each atom.
Element x y z (fractional)
1 Hg 0.0000 0.0000 0.5000  2 B 2.30
2 Hg 0.5000 0.0000 0.0000  2 B 2.30
3 Co 0.0000 0.5000 0.0000  2 B 1.96
4 Au 0.5000 0.5000 0.5000  8 Hg 3.03, 4 Co 3.26
5 B 0.0000 0.0000 0.0000  2 Co 1.96

Computed properties:
As for the final energy: -2.937 eV/atom. The calculation puts the total moment at 0.9 μB per formula unit.



No. 5
A plane-wave DFT calculation with PBE-GGA was carried out for a relaxed structure of CoB2AuN.

a = 3.6521 Å, b = 3.7015 Å, c = 3.6521 Å
α = 90.00°, β = 90.00°, γ = 90.00°
With the nearest neighbours (Å) after each atom.
Element x y z (fractional)
1 N 0.0000 0.0000 0.0000  4 B 1.83, 2 Co 1.85
2 B 0.5000 0.0000 0.0000  2 N 1.83
3 B 0.0000 0.0000 0.5000  2 N 1.83
4 Au 0.5000 0.5000 0.5000  4 Co 2.58, 8 B 2.60
5 Co 0.0000 0.5000 0.0000  2 N 1.85

Computed properties:
For the energy relative to the elements, uncorrected, the calculation gives 1.242 eV per atom. The calculation puts the total moment at 0.0 μB per formula unit.



No. 6
A plane-wave DFT calculation with PBE-GGA was carried out for a relaxed structure of CoNi2BAu.

a = 3.8897 Å, b = 3.8897 Å, c = 3.8657 Å
α = 90.00°, β = 90.00°, γ = 90.00°
With the nearest neighbours (Å) after each atom.
Element x y z (fractional)
1 Co 0.0000 0.0000 0.5000  2 B 1.93
2 B 0.0000 0.0000 0.0000  2 Co 1.93, 4 Ni 1.94
3 Ni 0.5000 0.0000 0.0000  2 B 1.94
4 Ni 0.0000 0.5000 0.0000  2 B 1.94
5 Au 0.5000 0.5000 0.5000  8 Ni 2.74, 4 Co 2.75

Computed properties:
As for the final energy: -5.654 eV/atom. The calculation puts the total moment at 0.8 μB per formula unit.